K2GaGe3Pt4 | PBE | optimized geometry

Cell lengths 4.4876, 4.4876, 10.1635 Å; angles 90.00, 90.00, 90.00 degrees
With the nearest neighbours (Å) after each atom.
Fractional coordinates of all 10 atoms:
1 K 0.0000 0.5000 0.2497  8 Pt 3.39-3.42, 7 Ge 3.39-3.76, 2 Ga 3.39
2 K 0.5000 0.0000 0.7503  8 Pt 3.39-3.42, 7 Ge 3.39-3.76, 2 Ga 3.39
3 Ga 0.0000 0.0000 0.5000  4 Pt 2.58
4 Ge 0.0000 0.5000 0.8796  5 Pt 2.56-2.58
5 Ge 0.5000 0.0000 0.1204  5 Pt 2.56-2.58
6 Ge 0.5000 0.5000 0.5000  4 Pt 2.58
7 Pt 0.0000 0.0000 0.0000  4 Ge 2.56
8 Pt 0.0000 0.5000 0.6256  3 Ge 2.58, 2 Ga 2.58
9 Pt 0.5000 0.0000 0.3744  3 Ge 2.58, 2 Ga 2.58
10 Pt 0.5000 0.5000 0.0000  4 Ge 2.56

Summary:
VASP energy = -4.799 eV/atom
total magnetic moment = 0.000 μB/atom
crystal system = tetragonal
space-group type = P-4m2, No. 115
DFT formation energy = -0.475 eV/atom
V = 204.68 Å³ per cell